DFT (PBE-GGA) results for a relaxed BeCuN crystal.

## Properties
- Energy: -5.507 eV/atom
- M_tot: 0.00 μB/cell
- Space-group type: Pnma (62)

```
BeCuN
1.0
-0.5132 -4.5871 5.2589
-0.1652 -2.1764 -1.9145
5.4572 -0.4995 0.0969
Cu Be N
4 4 4
Direct
0.8524 0.2500 0.4611 Cu
0.1476 0.7500 0.5389 Cu
0.3524 0.2500 0.0389 Cu
0.6476 0.7500 0.9611 Cu
0.9549 0.7500 0.1224 Be
0.0451 0.2500 0.8776 Be
0.5451 0.2500 0.6224 Be
0.4549 0.7500 0.3776 Be
0.8507 0.2500 0.0842 N
0.1493 0.7500 0.9158 N
0.3507 0.2500 0.4158 N
0.6493 0.7500 0.5842 N
```